The following is a PBE calculation of crystalline MgIn2MoOs at its relaxed geometry, from the Alexandria database.

Properties
Calculated density = 6.9 Mg/m³
DFT total energy = -5.003 eV per atom

Lattice parameters (Å, degrees): 5.195 5.195 4.846 90.00 90.00 90.00
Atoms (fractional coordinates):
1 Mg 0.000 0.000 0.000
2 In 0.000 0.500 0.500
3 In 0.500 0.000 0.500
4 Mo 0.500 0.500 0.000
5 Os 0.500 0.500 0.500

=====

The following is a PBE calculation of crystalline Mg2InMoOs at its relaxed geometry, from the Alexandria database.

Properties
Calculated density = 6.1 Mg/m³
DFT total energy = -3.873 eV per atom

Lattice parameters (Å, degrees): 4.944 4.944 4.986 90.00 90.00 90.00
Atoms (fractional coordinates):
1 Mg 0.000 0.500 0.000
2 Mg 0.500 0.000 0.000
3 In 0.000 0.000 0.000
4 Mo 0.500 0.500 0.500
5 Os 0.000 0.000 0.500

=====

The following is a PBE calculation of crystalline MgInMo2Pb at its relaxed geometry, from the Alexandria database.

Properties
Calculated density = 5.9 Mg/m³
DFT total energy = -4.181 eV per atom

Lattice parameters (Å, degrees): 5.222 5.222 5.541 90.00 90.00 90.00
Atoms (fractional coordinates):
1 Mg 0.000 0.000 0.000
2 In 0.500 0.500 0.500
3 Mo 0.000 0.500 0.500
4 Mo 0.500 0.000 0.500
5 Pb 0.500 0.500 0.000